Mg4TiPt5 (PBE, relaxed); space-group type = No. 123
1.0
2.9583 0.0000 0.0000
0.0000 2.9583 0.0000
0.0000 0.0000 18.1271
Mg Ti Pt
4 1 5
direct
0.0000 0.0000 0.2022
0.0000 0.0000 0.4007
0.0000 0.0000 0.5993
0.0000 0.0000 0.7978
0.0000 0.0000 0.0000
0.5000 0.5000 0.0977
0.5000 0.5000 0.3007
0.5000 0.5000 0.5000
0.5000 0.5000 0.6993
0.5000 0.5000 0.9023

=====

La2OsAu (PBE, relaxed); space-group type = No. 12
1.0
-4.4314 0.4803 -2.6727
-0.7681 -5.1283 0.3486
-1.8227 0.4894 3.1185
Au La Os
1 2 1
direct
0.0000 0.5000 0.5000
0.0000 0.0000 0.0000
0.5000 0.5000 0.0000
0.5000 0.0000 0.5000

=====

| no. | total magnetic moment (μB per formula unit) | E (eV per atom) | density (g cm⁻³) |
| --- | --- | --- | --- |
| 1 | 0.3 | -5.327 | 11.73 |
| 2 | 0.0 | -6.402 | 11.22 |